Record 1
{
  "formula": "Li4NdPb5",
  "functional": "PBE",
  "state": "relaxed",
  "cell": [[3.6019, 0.0000, 0.0000], [0.0000, 3.6019, 0.0000], [0.0000, 0.0000, 18.6703]],
  "species": ["Li", "Li", "Li", "Li", "Pb", "Pb", "Pb", "Pb", "Pb", "Nd"],
  "frac_coords": [[0.0000, 0.0000, 0.7826], [0.0000, 0.0000, 0.4071], [0.0000, 0.0000, 0.2174], [0.0000, 0.0000, 0.5929], [0.5000, 0.5000, 0.3124], [0.5000, 0.5000, 0.8758], [0.5000, 0.5000, 0.1242], [0.5000, 0.5000, 0.5000], [0.5000, 0.5000, 0.6876], [0.0000, 0.0000, 0.0000]],
  "dft_energy_ev_per_atom": -3.41,
  "magnetic_moment_mub_per_atom": 0.0000
}

=====

Record 2
{
  "formula": "Li4NdPb",
  "functional": "PBE",
  "state": "relaxed",
  "cell": [[-4.0130, 3.9905, -0.4639], [-3.7932, -0.2648, -4.2173], [-5.4167, -1.2759, 1.1292]],
  "species": ["Li", "Li", "Li", "Li", "Pb", "Nd"],
  "frac_coords": [[0.6249, 0.6249, 0.6249], [0.1253, 0.6249, 0.6249], [0.6249, 0.6249, 0.1253], [0.6249, 0.1253, 0.6249], [0.0000, 0.0000, 0.0000], [0.2500, 0.2500, 0.2500]],
  "dft_energy_ev_per_atom": -2.80,
  "magnetic_moment_mub_per_atom": 0.0003
}

=====

Record 3
{
  "formula": "LiNd5Pb5",
  "functional": "PBE",
  "state": "relaxed",
  "cell": [[5.8114, 0.0000, 0.0000], [-2.9057, 9.1033, 0.4891], [0.0000, -2.7098, 6.5123]],
  "species": ["Nd", "Nd", "Nd", "Nd", "Nd", "Pb", "Pb", "Pb", "Pb", "Pb", "Li"],
  "frac_coords": [[0.6799, 0.3597, 0.2318], [0.6710, 0.3421, 0.7244], [0.0000, 0.0000, 0.5000], [0.3201, 0.6403, 0.7682], [0.3290, 0.6579, 0.2756], [0.8442, 0.6885, 0.5983], [0.1520, 0.3040, 0.9243], [0.8480, 0.6960, 0.0757], [0.5000, 0.0000, 0.0000], [0.1558, 0.3115, 0.4017], [0.0000, 0.0000, 0.0000]],
  "dft_energy_ev_per_atom": -4.31,
  "magnetic_moment_mub_per_atom": 0.0442
}

=====

Record 4
{
  "formula": "Li3NdPb4",
  "functional": "PBE",
  "state": "relaxed",
  "cell": [[-4.2831, 2.9901, -0.2301], [-0.6482, -0.3656, 7.3151], [5.9279, 8.5646, 0.9533]],
  "species": ["Pb", "Pb", "Pb", "Pb", "Pb", "Pb", "Pb", "Pb", "Li", "Li", "Li", "Li", "Li", "Li", "Nd", "Nd"],
  "frac_coords": [[0.0012, 0.7774, 0.7500], [0.9988, 0.7774, 0.2500], [0.5000, 0.2225, 0.0000], [0.0012, 0.2226, 0.7500], [0.5000, 0.7775, 0.0000], [0.9988, 0.2226, 0.2500], [0.5000, 0.2225, 0.5000], [0.5000, 0.7775, 0.5000], [0.5005, 0.5000, 0.7500], [0.0000, 0.0000, 0.0000], [0.5016, 0.0000, 0.7500], [0.4995, 0.5000, 0.2500], [0.0000, 0.0000, 0.5000], [0.4984, 0.0000, 0.2500], [0.0000, 0.5000, 0.5000], [0.0000, 0.5000, 0.0000]],
  "dft_energy_ev_per_atom": -3.49,
  "magnetic_moment_mub_per_atom": 0.0000
}

=====

Record 5
{
  "formula": "Li4NdPb4",
  "functional": "PBE",
  "state": "relaxed",
  "cell": [[-1.9699, -4.0742, 5.0151], [5.5338, -3.7705, -0.8895], [4.7633, 5.4962, 6.3359]],
  "species": ["Pb", "Pb", "Pb", "Pb", "Pb", "Pb", "Pb", "Pb", "Li", "Li", "Li", "Li", "Li", "Li", "Li", "Li", "Nd", "Nd"],
  "frac_coords": [[0.5000, 0.2275, 0.7892], [0.2725, 0.0000, 0.2892], [0.0000, 0.7275, 0.7108], [0.7275, 0.0000, 0.2892], [0.5000, 0.7725, 0.7892], [0.0000, 0.2725, 0.7108], [0.7725, 0.5000, 0.2108], [0.2275, 0.5000, 0.2108], [0.7790, 0.5000, 0.9198], [0.7210, 0.0000, 0.5802], [0.5000, 0.7790, 0.0802], [0.2790, 0.0000, 0.5802], [0.0000, 0.7210, 0.4198], [0.2210, 0.5000, 0.9198], [0.5000, 0.2210, 0.0802], [0.0000, 0.2790, 0.4198], [0.0000, 0.0000, 0.0000], [0.5000, 0.5000, 0.5000]],
  "dft_energy_ev_per_atom": -3.29,
  "magnetic_moment_mub_per_atom": 0.0000
}

=====

Record 6
{
  "formula": "Li3Nd2Pb2",
  "functional": "PBE",
  "state": "relaxed",
  "cell": [[4.9374, 0.0000, 0.0000], [-2.4687, 5.4777, 0.3997], [0.0000, -2.0251, 6.4055]],
  "species": ["Li", "Li", "Li", "Pb", "Pb", "Nd", "Nd"],
  "frac_coords": [[0.3931, 0.7861, 0.5714], [0.5000, 0.0000, 0.0000], [0.6069, 0.2139, 0.4286], [0.8458, 0.6915, 0.7505], [0.1542, 0.3085, 0.2495], [0.8531, 0.7062, 0.2400], [0.1469, 0.2938, 0.7600]],
  "dft_energy_ev_per_atom": -3.63,
  "magnetic_moment_mub_per_atom": 0.0000
}

=====

Record 7
{
  "formula": "Li3NdPb2",
  "functional": "PBE",
  "state": "relaxed",
  "cell": [[4.5850, 0.0000, 1.3517], [1.4418, 6.6703, 3.5616], [-0.1438, -0.5051, 8.9401]],
  "species": ["Pb", "Pb", "Pb", "Pb", "Li", "Li", "Li", "Li", "Li", "Li", "Nd", "Nd"],
  "frac_coords": [[0.2086, 0.3058, 0.2769], [0.4548, 0.8944, 0.1960], [0.5452, 0.1056, 0.8040], [0.7914, 0.6942, 0.7231], [0.7212, 0.0954, 0.4621], [0.9472, 0.7234, 0.3822], [0.2788, 0.9046, 0.5379], [0.4048, 0.5113, 0.6791], [0.5952, 0.4887, 0.3209], [0.0528, 0.2766, 0.6178], [0.1403, 0.7438, 0.9756], [0.8597, 0.2562, 0.0244]],
  "dft_energy_ev_per_atom": -3.36,
  "magnetic_moment_mub_per_atom": 0.0000
}

=====

Record 8
{
  "formula": "LiNd2Pb",
  "functional": "PBE",
  "state": "relaxed",
  "cell": [[-2.2905, 1.2503, 2.8939], [1.5791, -2.6410, 2.3908], [5.3624, 5.0669, 2.0553]],
  "species": ["Nd", "Nd", "Li", "Pb"],
  "frac_coords": [[0.0000, 0.0000, 0.2422], [0.0000, 0.0000, 0.7578], [0.5000, 0.5000, 0.0000], [0.5000, 0.5000, 0.5000]],
  "dft_energy_ev_per_atom": -4.00,
  "magnetic_moment_mub_per_atom": 0.1059
}

=====

Record 9
{
  "formula": "LiNdPb3",
  "functional": "PBE",
  "state": "relaxed",
  "cell": [[-2.1528, 5.9042, 0.8778], [-6.0318, -1.7084, -3.3018], [0.5642, -0.8369, 7.0131]],
  "species": ["Pb", "Pb", "Pb", "Pb", "Pb", "Pb", "Nd", "Nd", "Li", "Li"],
  "frac_coords": [[0.7500, 0.6268, 0.8136], [0.2500, 0.8136, 0.6268], [0.7500, 0.1865, 0.8135], [0.2500, 0.3732, 0.1864], [0.2500, 0.8135, 0.1865], [0.7500, 0.1864, 0.3732], [0.7500, 0.6666, 0.3334], [0.2500, 0.3334, 0.6666], [0.5000, 0.0000, 0.0000], [0.0000, 0.0000, 0.0000]],
  "dft_energy_ev_per_atom": -3.81,
  "magnetic_moment_mub_per_atom": 0.0000
}

=====

Record 10
{
  "formula": "Li2NdPd4Pb",
  "functional": "PBE",
  "state": "relaxed",
  "cell": [[-4.2850, -1.6017, -0.8510], [-2.5643, -1.7422, 3.4699], [-5.2159, 5.9881, 2.2717]],
  "species": ["Pd", "Pd", "Pd", "Pd", "Nd", "Li", "Li", "Pb"],
  "frac_coords": [[0.6165, 0.6165, 0.1504], [0.8753, 0.8753, 0.3740], [0.1247, 0.1247, 0.6260], [0.3835, 0.3835, 0.8496], [0.0000, 0.0000, 0.0000], [0.7562, 0.7562, 0.7313], [0.2438, 0.2438, 0.2687], [0.5000, 0.5000, 0.5000]],
  "dft_energy_ev_per_atom": -4.62,
  "magnetic_moment_mub_per_atom": 0.0000
}

=====

Record 11
{
  "formula": "Li2Nd2Pd5Pb",
  "functional": "PBE",
  "state": "relaxed",
  "cell": [[-1.9374, -0.6727, -3.2566], [8.0384, -3.9226, -3.9719], [-2.6250, -8.8015, 3.3797]],
  "species": ["Pd", "Pd", "Pd", "Pd", "Pd", "Pd", "Pd", "Pd", "Pd", "Pd", "Nd", "Nd", "Nd", "Nd", "Li", "Li", "Li", "Li", "Pb", "Pb"],
  "frac_coords": [[0.5000, 0.7156, 0.4313], [0.5000, 0.2156, 0.0687], [0.5000, 0.0687, 0.7844], [0.5000, 0.9313, 0.2156], [0.5000, 0.5687, 0.7156], [0.5000, 0.4313, 0.2844], [0.5000, 0.2844, 0.5687], [0.5000, 0.5000, 0.0000], [0.5000, 0.7844, 0.9313], [0.5000, 0.0000, 0.5000], [0.0000, 0.3217, 0.8217], [0.0000, 0.8217, 0.6783], [0.0000, 0.1783, 0.3217], [0.0000, 0.6783, 0.1783], [0.0000, 0.6173, 0.8827], [0.0000, 0.1173, 0.6173], [0.0000, 0.3827, 0.1173], [0.0000, 0.8827, 0.3827], [0.0000, 0.0000, 0.0000], [0.0000, 0.5000, 0.5000]],
  "dft_energy_ev_per_atom": -4.90,
  "magnetic_moment_mub_per_atom": 0.0000
}

=====

Record 12
{
  "formula": "Li2PmNd2Pb2",
  "functional": "PBE",
  "state": "relaxed",
  "cell": [[-0.5371, 3.8955, 2.9123], [-4.2379, 2.4456, 0.0582], [-4.6914, -3.4204, 7.8208]],
  "species": ["Li", "Li", "Nd", "Nd", "Pb", "Pb", "Pm"],
  "frac_coords": [[0.4016, 0.4016, 0.7951], [0.5984, 0.5984, 0.2049], [0.8709, 0.8709, 0.3874], [0.1291, 0.1291, 0.6126], [0.2653, 0.2653, 0.2040], [0.7347, 0.7347, 0.7960], [0.0000, 0.0000, 0.0000]],
  "dft_energy_ev_per_atom": -4.00,
  "magnetic_moment_mub_per_atom": 0.0000
}

=====

Record 13
{
  "formula": "Li2Pm2NdPb2",
  "functional": "PBE",
  "state": "relaxed",
  "cell": [[-3.1676, 3.6116, -0.9314], [-4.4276, -0.0309, 2.0834], [0.8249, 5.9956, 7.5887]],
  "species": ["Li", "Li", "Pb", "Pb", "Pm", "Pm", "Nd"],
  "frac_coords": [[0.4047, 0.4047, 0.7858], [0.5953, 0.5953, 0.2142], [0.2639, 0.2639, 0.2084], [0.7361, 0.7361, 0.7916], [0.8704, 0.8704, 0.3888], [0.1296, 0.1296, 0.6112], [0.0000, 0.0000, 0.0000]],
  "dft_energy_ev_per_atom": -4.00,
  "magnetic_moment_mub_per_atom": 0.0000
}

=====

Record 14
{
  "formula": "Li2Pr2NdPb2",
  "functional": "PBE",
  "state": "relaxed",
  "cell": [[-0.1310, 4.5583, 1.8249], [-3.7653, 1.4083, 2.8222], [3.3395, -0.9405, 9.1988]],
  "species": ["Pr", "Pr", "Pb", "Pb", "Li", "Li", "Nd"],
  "frac_coords": [[0.1293, 0.1293, 0.6120], [0.8707, 0.8707, 0.3880], [0.7346, 0.7346, 0.7962], [0.2654, 0.2654, 0.2038], [0.5983, 0.5983, 0.2050], [0.4017, 0.4017, 0.7950], [0.0000, 0.0000, 0.0000]],
  "dft_energy_ev_per_atom": -4.01,
  "magnetic_moment_mub_per_atom": 0.0000
}

=====

Record 15
{
  "formula": "Li2PrNd2Pb2",
  "functional": "PBE",
  "state": "relaxed",
  "cell": [[-0.6331, 4.0964, -2.6347], [0.5219, -0.1151, -4.8823], [-9.1483, -0.6770, -3.4324]],
  "species": ["Pr", "Li", "Li", "Pb", "Pb", "Nd", "Nd"],
  "frac_coords": [[0.0000, 0.0000, 0.0000], [0.4055, 0.4055, 0.7836], [0.5945, 0.5945, 0.2164], [0.7362, 0.7362, 0.7914], [0.2638, 0.2638, 0.2086], [0.8701, 0.8701, 0.3898], [0.1299, 0.1299, 0.6102]],
  "dft_energy_ev_per_atom": -4.01,
  "magnetic_moment_mub_per_atom": 0.0000
}

=====

Record 16
{
  "formula": "LiNdPtPb",
  "functional": "PBE",
  "state": "relaxed",
  "cell": [[4.9229, 0.0000, 0.0000], [2.4614, 4.2633, 0.0000], [2.4614, 1.4211, 4.0195]],
  "species": ["Pb", "Li", "Nd", "Pt"],
  "frac_coords": [[0.5000, 0.5000, 0.5000], [0.2500, 0.2500, 0.2500], [0.0000, 0.0000, 0.0000], [0.7500, 0.7500, 0.7500]],
  "dft_energy_ev_per_atom": -4.82,
  "magnetic_moment_mub_per_atom": 0.0000
}

=====

Record 17
{
  "formula": "LiNdPuPb",
  "functional": "PBE",
  "state": "relaxed",
  "cell": [[5.4264, 0.0000, 0.0000], [2.7132, 4.6994, 0.0000], [2.7132, 1.5665, 4.4307]],
  "species": ["Nd", "Pb", "Pu", "Li"],
  "frac_coords": [[0.5000, 0.5000, 0.5000], [0.2500, 0.2500, 0.2500], [0.0000, 0.0000, 0.0000], [0.7500, 0.7500, 0.7500]],
  "dft_energy_ev_per_atom": -6.27,
  "magnetic_moment_mub_per_atom": 1.6640
}

=====

Record 18
{
  "formula": "LiNdRuPb",
  "functional": "PBE",
  "state": "relaxed",
  "cell": [[4.8809, 0.0000, 0.0000], [2.4404, 4.2270, 0.0000], [2.4404, 1.4090, 3.9852]],
  "species": ["Li", "Pb", "Nd", "Ru"],
  "frac_coords": [[0.2500, 0.2500, 0.2500], [0.5000, 0.5000, 0.5000], [0.0000, 0.0000, 0.0000], [0.7500, 0.7500, 0.7500]],
  "dft_energy_ev_per_atom": -5.08,
  "magnetic_moment_mub_per_atom": 0.0000
}

=====

Record 19
{
  "formula": "LiNdPbSe3",
  "functional": "PBE",
  "state": "relaxed",
  "cell": [[4.0838, 0.0000, 0.0000], [0.0000, 8.9191, 0.3955], [0.0000, -1.9513, 8.9066]],
  "species": ["Li", "Li", "Se", "Se", "Se", "Se", "Se", "Se", "Pb", "Pb", "Nd", "Nd"],
  "frac_coords": [[0.7500, 0.9082, 0.4122], [0.2500, 0.0918, 0.5878], [0.7500, 0.9064, 0.1278], [0.2500, 0.6056, 0.8454], [0.7500, 0.3944, 0.1546], [0.7500, 0.1976, 0.4709], [0.2500, 0.8024, 0.5291], [0.2500, 0.0936, 0.8722], [0.7500, 0.3452, 0.8279], [0.2500, 0.6548, 0.1721], [0.2500, 0.1642, 0.2192], [0.7500, 0.8358, 0.7808]],
  "dft_energy_ev_per_atom": -4.72,
  "magnetic_moment_mub_per_atom": 0.0000
}

=====

Record 20
{
  "formula": "LiNd2PbSe4",
  "functional": "PBE",
  "state": "relaxed",
  "cell": [[-3.4878, -0.9337, 2.2100], [2.9913, -6.5396, 1.9581], [3.7006, 0.8593, 6.2033]],
  "species": ["Se", "Se", "Se", "Se", "Li", "Nd", "Nd", "Pb"],
  "frac_coords": [[0.0000, 0.7507, 0.7396], [0.5000, 0.7497, 0.2563], [0.5000, 0.2503, 0.7437], [0.0000, 0.2493, 0.2604], [0.0000, 0.5000, 0.5000], [0.0000, 0.0000, 0.0000], [0.5000, 0.0000, 0.5000], [0.5000, 0.5000, 0.0000]],
  "dft_energy_ev_per_atom": -5.02,
  "magnetic_moment_mub_per_atom": 0.0000
}